Entry from the Alexandria database: a relaxed AlSb2P crystal (PBE-GGA).

Space-group type: P4mm (99)
Total energy: -4.264 eV per atom
Size of the total moment: 0.00 μB per cell

Unit cell a=3.9904 b=3.9904 c=6.0137 alpha=90.00 beta=90.00 gamma=90.00
Element x y z (fractional)
1 Al 0.0000 0.0000 0.0000
2 Sb 0.0000 0.0000 0.4700
3 Sb 0.5000 0.5000 0.9423
4 P 0.5000 0.5000 0.5187